[1]
Material: CaSb6Au12
Method: DFT, PBE
State: relaxed

Summary:
DFT total energy: -3.533 eV per atom
ΔE_f (raw): -55.7 meV per atom
space group: No. 148
total moment: 0.00 Bohr magnetons per cell

Unit cell a=7.7725 b=7.7725 c=7.7725 alpha=103.74 beta=103.74 gamma=103.74
Atoms (fractional coordinates):
Ca 0.0000 0.0000 0.0000
Sb 0.1722 0.6731 0.4623
Sb 0.3269 0.5377 0.8278
Sb 0.4623 0.1722 0.6731
Sb 0.5377 0.8278 0.3269
Sb 0.6731 0.4623 0.1722
Sb 0.8278 0.3269 0.5377
Au 0.0807 0.1361 0.6891
Au 0.1188 0.2881 0.3840
Au 0.1361 0.6891 0.0807
Au 0.2881 0.3840 0.1188
Au 0.3109 0.9193 0.8639
Au 0.3840 0.1188 0.2881
Au 0.6160 0.8812 0.7119
Au 0.6891 0.0807 0.1361
Au 0.7119 0.6160 0.8812
Au 0.8639 0.3109 0.9193
Au 0.8812 0.7119 0.6160
Au 0.9193 0.8639 0.3109

=====

[2]
Material: CaZn4Cd12
Method: DFT, PBE
State: relaxed

Summary:
DFT total energy: -0.959 eV per atom
formation energy from the elements: 171 kJ/mol of formula units
space group: No. 204
total moment: 0.00 Bohr magnetons per cell

Unit cell a=8.2417 b=8.2417 c=8.2417 alpha=109.47 beta=109.47 gamma=109.47
Atoms (fractional coordinates):
Ca 0.0000 0.0000 0.0000
Zn 0.0000 0.0000 0.5000
Zn 0.0000 0.5000 0.0000
Zn 0.5000 0.0000 0.0000
Zn 0.5000 0.5000 0.5000
Cd 0.1561 0.5018 0.3457
Cd 0.1561 0.8104 0.6543
Cd 0.1896 0.3457 0.8439
Cd 0.3457 0.1561 0.5018
Cd 0.3457 0.8439 0.1896
Cd 0.4982 0.6543 0.8439
Cd 0.5018 0.3457 0.1561
Cd 0.6543 0.1561 0.8104
Cd 0.6543 0.8439 0.4982
Cd 0.8104 0.6543 0.1561
Cd 0.8439 0.1896 0.3457
Cd 0.8439 0.4982 0.6543

=====

[3]
Material: CeNpIrPt
Method: DFT, PBE
State: relaxed

Summary:
DFT total energy: -8.998 eV per atom
formation energy from the elements: -214 kJ/mol of formula units
space group: No. 216
total moment: 4.98 Bohr magnetons per cell

Unit cell a=4.9413 b=4.9413 c=4.9413 alpha=60.00 beta=60.00 gamma=60.00
Atoms (fractional coordinates):
Ce 0.0000 0.0000 0.0000
Np 0.5000 0.5000 0.5000
Ir 0.2500 0.2500 0.2500
Pt 0.7500 0.7500 0.7500

=====

[4]
Material: SrInCu2
Method: DFT, PBE
State: relaxed

Summary:
DFT total energy: -3.053 eV per atom
formation energy from the elements: 39 kJ/mol of formula units
space group: No. 12
total moment: 0.00 Bohr magnetons per cell

Unit cell a=4.7996 b=4.7996 c=3.8575 alpha=90.30 beta=90.30 gamma=90.03
Atoms (fractional coordinates):
Sr 0.0000 0.0000 0.0000
In 0.5000 0.5000 0.0000
Cu 0.0000 0.5000 0.5000
Cu 0.5000 0.0000 0.5000

=====

[5]
Material: PmCdAu4
Method: DFT, PBE
State: relaxed

Summary:
DFT total energy: -3.607 eV per atom
formation energy from the elements: -276 kJ/mol of formula units
distance to the lowest polymorph of the same formula: 0.0000 eV per atom
space group: No. 12
total moment: 0.00 Bohr magnetons per cell

Unit cell a=4.7397 b=4.7397 c=6.6414 alpha=90.02 beta=90.02 gamma=119.68
Atoms (fractional coordinates):
Pm 0.0000 0.0000 0.0000
Cd 0.0000 0.0000 0.5000
Au 0.3317 0.6661 0.7356
Au 0.3339 0.6683 0.2644
Au 0.6661 0.3317 0.7356
Au 0.6683 0.3339 0.2644

=====

[6]
Material: Li2Mg4Ni
Method: DFT, PBE
State: relaxed

Summary:
DFT total energy: -2.281 eV per atom
formation energy from the elements: 2 kJ/mol of formula units
space group: No. 166
total moment: 0.00 Bohr magnetons per cell

Unit cell a=7.9074 b=7.9074 c=7.9074 alpha=33.40 beta=33.40 gamma=33.40
Atoms (fractional coordinates):
Li 0.2436 0.2436 0.2436
Li 0.7564 0.7564 0.7564
Mg 0.1266 0.1266 0.1266
Mg 0.3765 0.3765 0.3765
Mg 0.6235 0.6235 0.6235
Mg 0.8734 0.8734 0.8734
Ni 0.5000 0.5000 0.5000

=====

[7]
Material: YHfUO6
Method: DFT, PBE
State: relaxed

Summary:
DFT total energy: -9.769 eV per atom
ΔE_f (raw): -3385.5 meV per atom
space group: No. 163
total moment: 2.00 Bohr magnetons per cell

Unit cell a=5.6217 b=5.6217 c=9.5149 alpha=90.00 beta=90.00 gamma=120.00
Atoms (fractional coordinates):
Y 0.0000 0.0000 0.0000
Y 0.0000 0.0000 0.5000
Hf 0.3333 0.6667 0.2500
Hf 0.6667 0.3333 0.7500
U 0.3333 0.6667 0.7500
U 0.6667 0.3333 0.2500
O 0.0084 0.3524 0.1359
O 0.0084 0.6560 0.3641
O 0.3440 0.3524 0.3641
O 0.3440 0.9916 0.1359
O 0.3524 0.0084 0.6359
O 0.3524 0.3440 0.8641
O 0.6476 0.6560 0.1359
O 0.6476 0.9916 0.3641
O 0.6560 0.0084 0.8641
O 0.6560 0.6476 0.6359
O 0.9916 0.3440 0.6359
O 0.9916 0.6476 0.8641

=====

[8]
Material: SmGd3O
Method: DFT, PBE
State: relaxed

Summary:
DFT total energy: -11.456 eV per atom
ΔE_f (raw): -1072.1 meV per atom
space group: No. 221
total moment: 22.01 Bohr magnetons per cell

Unit cell a=5.0108 b=5.0108 c=5.0108 alpha=90.00 beta=90.00 gamma=90.00
Atoms (fractional coordinates):
Sm 0.0000 0.0000 0.0000
Gd 0.0000 0.5000 0.5000
Gd 0.5000 0.0000 0.5000
Gd 0.5000 0.5000 0.0000
O 0.5000 0.5000 0.5000